[1]
This record from Alexandria via LeMat-Bulk describes a geometry-optimized NaScSe2O6 structure. The functional is PBE-GGA.

* M_tot: 0.00 μB per cell
* ΔE to the lowest computed polymorph: 0.00 kcal/mol of atoms

a b c (Å): 12.9877 5.5707 8.3279
angles (deg): 90.00 90.00 90.00
Space group Pnma (No. 62)
Asymmetric unit:
1 Na 0.1048 0.2500 0.0152 (multiplicity 4)
2 Sc 0.1025 0.7500 0.6994 (multiplicity 4)
3 Se 0.0690 0.7500 0.2825 (multiplicity 4)
4 Se 0.2086 0.2500 0.4983 (multiplicity 4)
5 O 0.0006 0.5122 0.2004 (multiplicity 8)
6 O 0.0276 0.7500 0.4784 (multiplicity 4)
7 O 0.1648 0.7500 0.9353 (multiplicity 4)
8 O 0.2134 0.0067 0.6268 (multiplicity 8)

[2]
This record from Alexandria via LeMat-Bulk describes a geometry-optimized TaZn4Ni5 structure. The functional is PBE-GGA.

* M_tot: 0.00 μB per cell
* ΔE_f: -240.6 meV per atom

a b c (Å): 2.7770 2.7770 16.2865
angles (deg): 90.00 90.00 90.00
Space group P4/mmm (No. 123)
Asymmetric unit:
1 Ta 0.0000 0.0000 0.0000 (multiplicity 1)
2 Zn 0.0000 0.0000 0.2104 (multiplicity 2)
3 Zn 0.0000 0.0000 0.4038 (multiplicity 2)
4 Ni 0.5000 0.5000 0.1131 (multiplicity 2)
5 Ni 0.5000 0.5000 0.3070 (multiplicity 2)
6 Ni 0.5000 0.5000 0.5000 (multiplicity 1)

[3]
This record from Alexandria via LeMat-Bulk describes a geometry-optimized VSb2Ir structure. The functional is PBE-GGA.

* M_tot: 9.94 μB per cell
* ΔE to the lowest computed polymorph: 7.34 kcal/mol of atoms

a b c (Å): 6.3532 6.3532 10.9219
angles (deg): 90.00 90.00 90.00
Space group I-42d (No. 122)
Asymmetric unit:
1 V 0.0000 0.0000 0.0000 (multiplicity 4)
2 Sb 0.2307 0.2500 0.6250 (multiplicity 8)
3 Ir 0.0000 0.0000 0.5000 (multiplicity 4)

[4]
This record from Alexandria via LeMat-Bulk describes a geometry-optimized Tc2HgSe structure. The functional is PBE-GGA.

* M_tot: 0.00 μB per cell
* ΔE to the lowest computed polymorph: 11.89 kcal/mol of atoms

a b c (Å): 6.3969 6.3969 6.3969
angles (deg): 90.00 90.00 90.00
Space group Fm-3m (No. 225)
Asymmetric unit:
1 Tc 0.2500 0.2500 0.2500 (multiplicity 8)
2 Hg 0.0000 0.0000 0.0000 (multiplicity 4)
3 Se 0.0000 0.0000 0.5000 (multiplicity 4)

[5]
This record from Alexandria via LeMat-Bulk describes a geometry-optimized RbSmPb2I8 structure. The functional is PBE-GGA.

* M_tot: 0.00 μB per cell
* E_tot: -3.123 eV per atom

a b c (Å): 7.4408 7.8670 9.8968
angles (deg): 89.96 89.90 88.87
Space group P-1 (No. 2)
Asymmetric unit:
1 Rb 0.0000 0.0000 0.0000 (multiplicity 1)
2 Sm 0.0000 0.0000 0.5000 (multiplicity 1)
3 Pb 0.4999 0.5002 0.2492 (multiplicity 2)
4 I 0.2371 0.3289 0.5002 (multiplicity 2)
5 I 0.2513 0.8447 0.7173 (multiplicity 2)
6 I 0.2522 0.8456 0.2822 (multiplicity 2)
7 I 0.2670 0.3753 0.0004 (multiplicity 2)

[6]
This record from Alexandria via LeMat-Bulk describes a geometry-optimized Al2CuIrCl structure. The functional is PBE-GGA.

* M_tot: 0.00 μB per cell
* E_tot: -4.391 eV per atom

a b c (Å): 4.7643 4.7643 4.8394
angles (deg): 90.00 90.00 90.00
Space group P4/mmm (No. 123)
Asymmetric unit:
1 Al 0.0000 0.5000 0.0000 (multiplicity 2)
2 Cu 0.0000 0.0000 0.5000 (multiplicity 1)
3 Ir 0.0000 0.0000 0.0000 (multiplicity 1)
4 Cl 0.5000 0.5000 0.5000 (multiplicity 1)

[7]
This record from Alexandria via LeMat-Bulk describes a geometry-optimized La6Pr2Sc structure. The functional is PBE-GGA.

* M_tot: 0.00 μB per cell
* ΔE_f: 154.3 meV per atom
* ΔE to the lowest computed polymorph: 0.00 kcal/mol of atoms

a b c (Å): 12.1204 10.2824 5.8737
angles (deg): 90.00 118.91 90.00
Space group C2/m (No. 12)
Asymmetric unit:
1 La 0.0000 0.1756 0.0000 (multiplicity 4)
2 La 0.1646 0.3122 0.6648 (multiplicity 8)
3 Pr 0.1769 0.5000 0.1774 (multiplicity 4)
4 Sc 0.0000 0.0000 0.5000 (multiplicity 2)

[8]
This record from Alexandria via LeMat-Bulk describes a geometry-optimized Hf5ScRu6 structure. The functional is PBE-GGA.

* M_tot: 0.00 μB per cell
* ΔE_f: -810.7 meV per atom

a b c (Å): 4.5755 13.7522 6.4729
angles (deg): 90.00 90.00 90.00
Space group Cmmm (No. 65)
Asymmetric unit:
1 Hf 0.0000 0.0000 0.0000 (multiplicity 2)
2 Hf 0.0000 0.3337 0.0000 (multiplicity 4)
3 Hf 0.0000 0.3347 0.5000 (multiplicity 4)
4 Sc 0.0000 0.0000 0.5000 (multiplicity 2)
5 Ru 0.0000 0.1678 0.2492 (multiplicity 8)
6 Ru 0.0000 0.5000 0.2476 (multiplicity 4)

[9]
This record from Alexandria via LeMat-Bulk describes a geometry-optimized RbTl2OsCl6 structure. The functional is PBE-GGA.

* M_tot: 2.02 μB per cell
* E_tot: -3.702 eV per atom

a b c (Å): 7.1000 10.7916 8.7524
angles (deg): 90.00 90.00 90.00
Space group Pmmn (No. 59, origin choice 2)
Asymmetric unit:
1 Rb 0.2500 0.2500 0.1746 (multiplicity 2)
2 Tl 0.2500 0.0526 0.6670 (multiplicity 4)
3 Os 0.2500 0.7500 0.3144 (multiplicity 2)
4 Cl 0.0100 0.7500 0.1263 (multiplicity 4)
5 Cl 0.0125 0.7500 0.5071 (multiplicity 4)
6 Cl 0.2500 0.5297 0.3150 (multiplicity 4)

[10]
This record from Alexandria via LeMat-Bulk describes a geometry-optimized Zr2InTc structure. The functional is PBE-GGA.

* M_tot: 0.01 μB per cell
* ΔE_f: -138.3 meV per atom
* ΔE to the lowest computed polymorph: 5.45 kcal/mol of atoms

a b c (Å): 3.2835 3.2835 27.1940
angles (deg): 90.00 90.00 120.00
Space group R-3m (No. 166, hexagonal axes)
Asymmetric unit:
1 Zr 0.0000 0.0000 0.2388 (multiplicity 6)
2 In 0.0000 0.0000 0.0000 (multiplicity 3)
3 Tc 0.0000 0.0000 0.5000 (multiplicity 3)

[11]
This record from Alexandria via LeMat-Bulk describes a geometry-optimized Sc2AlCo structure. The functional is PBE-GGA.

* M_tot: 0.50 μB per cell
* ΔE_f: -423.7 meV per atom

a b c (Å): 3.1916 3.2209 6.7831
angles (deg): 90.00 90.00 90.00
Space group Pmmm (No. 47)
Asymmetric unit:
1 Sc 0.0000 0.0000 0.2233 (multiplicity 2)
2 Al 0.5000 0.5000 0.5000 (multiplicity 1)
3 Co 0.5000 0.5000 0.0000 (multiplicity 1)

[12]
This record from Alexandria via LeMat-Bulk describes a geometry-optimized UInRe structure. The functional is PBE-GGA.

* M_tot: 0.02 μB per cell
* ΔE_f: 276.3 meV per atom

a b c (Å): 10.7201 3.0521 7.3703
angles (deg): 90.00 90.30 90.00
Space group C2/m (No. 12)
Asymmetric unit:
1 U 0.0530 0.0000 0.1517 (multiplicity 4)
2 In 0.1325 0.5000 0.5399 (multiplicity 4)
3 Re 0.2244 0.0000 0.8465 (multiplicity 4)

[13]
This record from Alexandria via LeMat-Bulk describes a geometry-optimized Ho7In2Te2 structure. The functional is PBE-GGA.

* M_tot: 0.00 μB per cell
* E_tot: -4.331 eV per atom

a b c (Å): 8.2362 10.9283 7.4679
angles (deg): 90.00 90.00 90.00
Space group Cmmm (No. 65)
Asymmetric unit:
1 Ho 0.0000 0.0000 0.0000 (multiplicity 2)
2 Ho 0.0000 0.5000 0.2673 (multiplicity 4)
3 Ho 0.2500 0.2500 0.2811 (multiplicity 8)
4 In 0.1757 0.0000 0.5000 (multiplicity 4)
5 Te 0.0000 0.2810 0.0000 (multiplicity 4)

[14]
This record from Alexandria via LeMat-Bulk describes a geometry-optimized LiZnAsBr2 structure. The functional is PBE-GGA.

* M_tot: 1.75 μB per cell
* ΔE to the lowest computed polymorph: 7.00 kcal/mol of atoms

a b c (Å): 4.8967 4.8967 5.3132
angles (deg): 90.00 90.00 90.00
Space group P4/mmm (No. 123)
Asymmetric unit:
1 Li 0.0000 0.0000 0.0000 (multiplicity 1)
2 Zn 0.5000 0.5000 0.5000 (multiplicity 1)
3 As 0.0000 0.0000 0.5000 (multiplicity 1)
4 Br 0.0000 0.5000 0.0000 (multiplicity 2)

[15]
This record from Alexandria via LeMat-Bulk describes a geometry-optimized Mg5GaPt4 structure. The functional is PBE-GGA.

* M_tot: 0.00 μB per cell
* ΔE_f: -722.2 meV per atom

a b c (Å): 3.2532 3.2532 15.5479
angles (deg): 90.00 90.00 90.00
Space group P4/mmm (No. 123)
Asymmetric unit:
1 Mg 0.0000 0.0000 0.0000 (multiplicity 1)
2 Mg 0.0000 0.0000 0.1950 (multiplicity 2)
3 Mg 0.0000 0.0000 0.3882 (multiplicity 2)
4 Ga 0.5000 0.5000 0.5000 (multiplicity 1)
5 Pt 0.5000 0.5000 0.0977 (multiplicity 2)
6 Pt 0.5000 0.5000 0.2957 (multiplicity 2)

[16]
This record from Alexandria via LeMat-Bulk describes a geometry-optimized KRb4Na2 structure. The functional is PBE-GGA.

* M_tot: 0.00 μB per cell
* ΔE_f: 107.2 meV per atom
* ΔE to the lowest computed polymorph: 0.50 kcal/mol of atoms

a b c (Å): 17.8669 14.8444 8.5762
angles (deg): 90.00 90.00 90.00
Space group Cmce (No. 64)
Asymmetric unit:
1 K 0.0000 0.0000 0.0000 (multiplicity 4)
2 Rb 0.0000 0.2374 0.2683 (multiplicity 8)
3 Rb 0.2500 0.1455 0.7500 (multiplicity 8)
4 Na 0.0944 0.0000 0.5000 (multiplicity 8)

[17]
This record from Alexandria via LeMat-Bulk describes a geometry-optimized FeRuPt2 structure. The functional is PBE-GGA.

* M_tot: 3.53 μB per cell
* ΔE_f: 4.4 meV per atom

a b c (Å): 4.7412 2.7352 4.7500
angles (deg): 90.00 109.46 90.00
Space group P2/m (No. 10)
Asymmetric unit:
1 Fe 0.0000 0.0000 0.0000 (multiplicity 1)
2 Ru 0.5000 0.5000 0.0000 (multiplicity 1)
3 Pt 0.0000 0.5000 0.5000 (multiplicity 1)
4 Pt 0.5000 0.0000 0.5000 (multiplicity 1)

[18]
This record from Alexandria via LeMat-Bulk describes a geometry-optimized RhBr2 structure. The functional is PBE-GGA.

* M_tot: 2.45 μB per cell
* E_tot: -3.213 eV per atom

a b c (Å): 3.2906 3.2906 13.4629
angles (deg): 90.00 90.00 90.00
Space group I4/mmm (No. 139)
Asymmetric unit:
1 Rh 0.0000 0.0000 0.0000 (multiplicity 2)
2 Br 0.0000 0.0000 0.3825 (multiplicity 4)

[19]
This record from Alexandria via LeMat-Bulk describes a geometry-optimized BaScCu4 structure. The functional is PBE-GGA.

* M_tot: 0.00 μB per cell
* ΔE_f: 131.5 meV per atom

a b c (Å): 7.6083 7.6083 7.6083
angles (deg): 90.00 90.00 90.00
Space group F-43m (No. 216)
Asymmetric unit:
1 Ba 0.0000 0.0000 0.0000 (multiplicity 4)
2 Sc 0.2500 0.2500 0.2500 (multiplicity 4)
3 Cu 0.1208 0.1208 0.6208 (multiplicity 16)

[20]
This record from Alexandria via LeMat-Bulk describes a geometry-optimized FeSi2Mo structure. The functional is PBE-GGA.

* M_tot: 1.39 μB per cell
* E_tot: -7.833 eV per atom

a b c (Å): 3.1263 3.1263 5.2982
angles (deg): 90.00 90.00 90.00
Space group P4mm (No. 99)
Asymmetric unit:
1 Fe 0.0000 0.0000 0.0000 (multiplicity 1)
2 Si 0.0000 0.0000 0.5419 (multiplicity 1)
3 Si 0.5000 0.5000 0.8062 (multiplicity 1)
4 Mo 0.5000 0.5000 0.3101 (multiplicity 1)